# 1
Below is an optimized crystal structure of MnVNiHO, with properties calculated at the PBE+U level.

Summary:
* space-group type: Cm (8)

abc: 5.5384 5.5384 3.0457
angles: 93.20 93.20 39.35
Last column: nearest neighbours and their distance in Å.
Atoms (fractional coordinates):
1 Mn 0.0000 0.0000 0.0000  2 O 2.13, 1 H 2.36
2 V 0.7185 0.7185 0.7457  2 H 1.89, 2 O 2.10-2.11
3 Ni 0.3675 0.3675 0.4172  1 H 1.96
4 H 0.1990 0.1990 0.6666  2 V 1.89, 1 Ni 1.96
5 O 0.5786 0.5786 0.2205  2 V 2.10-2.11, 2 Mn 2.13, 1 Ni 2.32



# 2
Below is an optimized crystal structure of MnVNiHO, with properties calculated at the PBE+U level.

Summary:
* space-group type: Pmm2 (25)

abc: 2.7992 3.1800 6.4326
angles: 90.00 90.00 90.00
Last column: nearest neighbours and their distance in Å.
Atoms (fractional coordinates):
1 Mn 0.0000 0.0000 0.0000  4 H 2.12, 2 O 2.23
2 V 0.0000 0.0000 0.4859  2 O 1.97
3 Ni 0.5000 0.5000 0.7370  1 H 1.59
4 H 0.5000 0.5000 0.9842  1 Ni 1.59
5 O 0.5000 0.0000 0.2706  2 V 1.97



# 3
Below is an optimized crystal structure of MnVNiHO, with properties calculated at the PBE+U level.

Summary:
* space-group type: Cm (8)

abc: 2.9808 2.9808 7.6263
angles: 101.28 101.28 61.87
Last column: nearest neighbours and their distance in Å.
Atoms (fractional coordinates):
1 Mn 0.0000 0.0000 0.0000  1 H 1.98
2 V 0.4622 0.4622 0.3132  3 O 1.96-2.03
3 Ni 0.2448 0.2448 0.7223  3 H 1.73-1.74
4 H 0.9093 0.9093 0.7327  3 Ni 1.73-1.74
5 O 0.1557 0.1557 0.4420  3 V 1.96-2.03, 1 Ni 2.08



# 4
Below is an optimized crystal structure of MnVNiHO, with properties calculated at the PBE+U level.

Summary:
* space-group type: Amm2 (38)

abc: 3.8015 5.5199 5.5199
angles: 32.53 90.00 90.00
Last column: nearest neighbours and their distance in Å.
Atoms (fractional coordinates):
1 Mn 0.0000 0.0000 0.0000  2 O 1.99
2 V 0.5000 0.6852 0.6852  2 H 1.99, 2 O 2.08
3 Ni 0.0000 0.2950 0.2950  2 H 1.90
4 H 0.5000 0.3033 0.3033  2 Ni 1.90, 2 V 1.99
5 O 0.5000 0.0544 0.0544  2 Mn 1.99, 2 V 2.08



# 5
Below is an optimized crystal structure of MnVNiHO, with properties calculated at the PBE+U level.

Summary:
* space-group type: Amm2 (38)

abc: 3.0454 6.9039 6.9039
angles: 24.18 90.00 90.00
Last column: nearest neighbours and their distance in Å.
Atoms (fractional coordinates):
1 Mn 0.0000 0.0000 0.0000  1 O 2.19
2 V 0.5000 0.6864 0.6864  1 H 1.87
3 Ni 0.5000 0.3886 0.3886  2 H 1.68
4 H 0.5000 0.8250 0.8250  2 Ni 1.68, 1 V 1.87
5 O 0.0000 0.1626 0.1626  4 V 2.12, 1 Mn 2.19



# 6
Below is an optimized crystal structure of MnVNiHO, with properties calculated at the PBE+U level.

Summary:
* space-group type: P1 (1)

abc: 2.9927 4.0985 4.9626
angles: 67.37 82.37 89.12
Last column: nearest neighbours and their distance in Å.
Atoms (fractional coordinates):
1 Mn 0.0000 0.0000 0.0000  1 H 2.01, 2 O 2.10-2.20
2 V 0.6214 0.6306 0.6709  2 H 1.94-1.95, 2 O 2.03-2.07
3 Ni 0.3542 0.3809 0.2546  1 H 1.85
4 H 0.1823 0.7255 0.3979  1 Ni 1.85, 2 V 1.94-1.95, 1 Mn 2.01
5 O 0.5966 0.1319 0.6598  2 V 2.03-2.07, 1 Ni 2.10, 2 Mn 2.10-2.20



# 7
Below is an optimized crystal structure of MnVNiHO, with properties calculated at the PBE+U level.

Summary:
* space-group type: Cm (8)

abc: 6.0294 6.0294 3.0975
angles: 104.84 104.84 30.52
Last column: nearest neighbours and their distance in Å.
Atoms (fractional coordinates):
1 Mn 0.0000 0.0000 0.0000  1 O 2.14, 4 H 2.25-2.26
2 V 0.2821 0.2821 0.2812  1 H 2.04, 4 O 2.24
3 Ni 0.6208 0.6208 0.6207  1 H 1.75
4 H 0.4644 0.4644 0.4624  1 Ni 1.75
5 O 0.8091 0.8091 0.8078  1 Ni 2.11, 1 Mn 2.14, 4 V 2.24



# 8
Below is an optimized crystal structure of MnVNiHO, with properties calculated at the PBE+U level.

Summary:
* space-group type: R3m (160)

abc: 7.7078 7.7078 7.7078
angles: 22.76 22.76 22.76
Last column: nearest neighbours and their distance in Å.
Atoms (fractional coordinates):
1 Mn 0.0000 0.0000 0.0000  3 H 2.35, 3 Ni 2.60
2 V 0.4505 0.4505 0.4505  3 O 2.01, 3 H 2.06
3 Ni 0.2483 0.2483 0.2483  1 O 1.98
4 H 0.7361 0.7361 0.7361  3 V 2.06
5 O 0.1604 0.1604 0.1604  1 Ni 1.98, 3 V 2.01



# 9
Below is an optimized crystal structure of MnVNiHO, with properties calculated at the PBE+U level.

Summary:
* space-group type: Cm (8)

abc: 3.1699 3.1699 6.9780
angles: 90.17 90.17 60.17
Last column: nearest neighbours and their distance in Å.
Atoms (fractional coordinates):
1 Mn 0.0000 0.0000 0.0000  3 H 1.85
2 V 0.3323 0.3323 0.5750  3 O 2.03
3 Ni 0.6660 0.6660 0.2853  1 H 1.76
4 H 0.6663 0.6663 0.0332  1 Ni 1.76, 3 Mn 1.85
5 O 0.9986 0.9986 0.6999  3 V 2.03, 1 Mn 2.09



# 10
Below is an optimized crystal structure of MnVNiHO, with properties calculated at the PBE+U level.

Summary:
* space-group type: Pm (6)

abc: 4.6055 2.8915 4.7330
angles: 90.00 92.94 90.00
Last column: nearest neighbours and their distance in Å.
Atoms (fractional coordinates):
1 Mn 0.0000 0.0000 0.0000  2 O 2.17
2 V 0.5433 0.0000 0.4500  2 H 1.94, 2 O 2.05
3 Ni 0.4748 0.5000 0.9103  1 H 1.69
4 H 0.3055 0.5000 0.5860  1 Ni 1.69
5 O 0.7709 0.5000 0.2490  2 V 2.05, 1 Ni 2.05, 2 Mn 2.17



# 11
Below is an optimized crystal structure of MnVNiHO, with properties calculated at the PBE+U level.

Summary:
* space-group type: Amm2 (38)

abc: 3.7157 5.6661 5.6661
angles: 31.99 90.00 90.00
Last column: nearest neighbours and their distance in Å.
Atoms (fractional coordinates):
1 Mn 0.0000 0.0000 0.0000  2 H 1.95
2 V 0.5000 0.3167 0.3167  2 O 1.90
3 Ni 0.5000 0.6083 0.6083  2 H 1.86
4 H 0.0000 0.6079 0.6079  2 Ni 1.86, 2 Mn 1.95
5 O 0.0000 0.3528 0.3528  2 V 1.90



# 12
Below is an optimized crystal structure of MnVNiHO, with properties calculated at the PBE+U level.

Summary:
* space-group type: Imm2 (44)

abc: 6.8070 6.8070 6.8070
angles: 154.57 154.32 36.45
Last column: nearest neighbours and their distance in Å.
Atoms (fractional coordinates):
1 Mn 0.0000 0.0000 0.0000  2 O 2.14
2 V 0.2801 0.2801 0.0000  2 H 1.91, 2 O 2.01
3 Ni 0.6333 0.6333 0.0000  2 H 1.67
4 H 0.1886 0.6886 0.5000  2 Ni 1.67
5 O 0.3834 0.8834 0.5000  2 V 2.01, 2 Mn 2.14



Result set for energy above the lowest structure with this stoichiometry: 0.104; 0.150; 0.159; 0.097; 0.046; 0.187; 0.000; 0.063; 0.084; 0.140; 0.146; 0.054 eV/atom, one per record in the order listed.